*A*
Here is an optimized crystal structure of Pr2DyAu from Alexandria. Energies are from PBE.

Cell: 3.7599 3.7599 30.9752 Å, 90.00 90.00 120.00°
Space group R-3m (No. 166, hexagonal axes)
Inequivalent atoms, fractional coordinates:
Pr: 0.0000 0.0000 0.2391
Dy: 0.0000 0.0000 0.0000
Au: 0.0000 0.0000 0.5000

---

*B*
Here is an optimized crystal structure of Pr2DyAu from Alexandria. Energies are from PBE.

Cell: 3.765 3.765 8.546 Å, 90.00 90.00 90.00°
Space group P4/mmm (No. 123)
Inequivalent atoms, fractional coordinates:
Pr: 0.000 0.000 0.213
Dy: 0.500 0.500 0.500
Au: 0.500 0.500 0.000

---

If you had to name the least stable structure above, which would it be? It would be *A*.